# 1
Dy7Y2Pu: optimized geometry, PBE.

abc: 15.0502 15.0502 3.4614
angles: 90.08 90.08 156.43
Positions (direct):
Dy 0.0000 0.0000 0.0000
Dy 0.1577 0.3546 0.2405
Dy 0.1906 0.8094 0.5000
Dy 0.3546 0.1577 0.2405
Dy 0.6454 0.8423 0.7595
Dy 0.8094 0.1906 0.5000
Dy 0.8423 0.6454 0.7595
Y 0.2933 0.7067 0.0000
Y 0.7067 0.2933 0.0000
Pu 0.5000 0.5000 0.5000

Total magnetization in μB/atom: 0.74
Energy of formation from the pure elements in meV/atom: 141
E in eV/cell: -58.067
Fermi-level density of states in states/eV per cell: 19.98

=====

# 2
NpGa4Pd2Rh: optimized geometry, PBE.

abc: 9.0429 9.0429 9.0429
angles: 27.36 27.36 27.36
Positions (direct):
Np 0.0000 0.0000 0.0000
Ga 0.1312 0.1312 0.1312
Ga 0.3982 0.3982 0.3982
Ga 0.6018 0.6018 0.6018
Ga 0.8688 0.8688 0.8688
Pd 0.2355 0.2355 0.2355
Pd 0.7645 0.7645 0.7645
Rh 0.5000 0.5000 0.5000

Total magnetization in μB/atom: 0.49
Energy of formation from the pure elements in meV/atom: -449
E in eV/cell: -46.375
Fermi-level density of states in states/eV per cell: 10.63

=====

# 3
Ba2IrBr: optimized geometry, PBE.

abc: 3.8586 3.8714 8.4149
angles: 90.00 90.00 90.00
Positions (direct):
Ba 0.0000 0.0000 0.2144
Ba 0.0000 0.0000 0.7856
Ir 0.5000 0.5000 0.0000
Br 0.5000 0.5000 0.5000

Total magnetization in μB/atom: 0.01
Uncorrected formation energy in kJ/mol of atoms: -77.9
Polymorph energy (0 for the lowest one) in eV/atom: 0.050
E in eV/cell: -17.608
Fermi-level density of states in states/eV per cell: 1.27

=====

# 4
Sr2Li15Cd2: optimized geometry, PBE.

abc: 7.6618 7.6618 7.6618
angles: 83.48 83.48 83.48
Positions (direct):
Sr 0.1535 0.1535 0.1535
Sr 0.8465 0.8465 0.8465
Li 0.0000 0.5000 0.5000
Li 0.1555 0.1555 0.6339
Li 0.1555 0.6339 0.1555
Li 0.2248 0.5000 0.7752
Li 0.2248 0.7752 0.5000
Li 0.3661 0.8445 0.8445
Li 0.5000 0.0000 0.5000
Li 0.5000 0.2248 0.7752
Li 0.5000 0.5000 0.0000
Li 0.5000 0.7752 0.2248
Li 0.6339 0.1555 0.1555
Li 0.7752 0.2248 0.5000
Li 0.7752 0.5000 0.2248
Li 0.8445 0.3661 0.8445
Li 0.8445 0.8445 0.3661
Cd 0.3968 0.3968 0.3968
Cd 0.6032 0.6032 0.6032

Total magnetization in μB/atom: 0.00
Energy of formation from the pure elements in meV/atom: -55
E in eV/cell: -34.938
Fermi-level density of states in states/eV per cell: 10.18

=====

# 5
SrCo2Cu: optimized geometry, PBE.

abc: 3.1183 3.1183 6.9759
angles: 90.00 90.00 90.00
Positions (direct):
Sr 0.0000 0.0000 0.0000
Co 0.0000 0.0000 0.4750
Co 0.5000 0.5000 0.3287
Cu 0.5000 0.5000 0.6758

Total magnetization in μB/atom: 0.82
Polymorph energy (0 for the lowest one) in eV/atom: 0.284
Energy of formation from the pure elements in meV/atom: 388
E in eV/cell: -18.437
Fermi-level density of states in states/eV per cell: 3.01

=====

# 6
ZnRhW: optimized geometry, PBE.

abc: 4.1765 4.1765 4.1765
angles: 60.00 60.00 60.00
Positions (direct):
Zn 0.0000 0.0000 0.0000
Rh 0.7500 0.7500 0.7500
W 0.5000 0.5000 0.5000

Total magnetization in μB/atom: 0.00
Polymorph energy (0 for the lowest one) in eV/atom: 0.508
Energy of formation from the pure elements in meV/atom: 291
E in eV/cell: -20.706
Fermi-level density of states in states/eV per cell: 5.53